[1]
# KCr3As

A crystal of KCr3As relaxed with PBEsol (SCAN, Alexandria via LeMat-Bulk).

Values from the calculation:
- Fermi-level density of states: 1.71 states/eV per cell
- ΔH_f (0 K): 10.12 kcal/mol of atoms

Cell lengths 5.000, 5.000, 5.000 Å; angles 90.00, 90.00, 90.00 degrees
Sites, in units of the cell vectors:
K  0.000  0.000  0.000
Cr  0.000  0.500  0.500
Cr  0.500  0.000  0.500
Cr  0.500  0.500  0.000
As  0.500  0.500  0.500

---

[2]
# LiGeOs2Cl

A crystal of LiGeOs2Cl relaxed with PBEsol (SCAN, Alexandria via LeMat-Bulk).

Values from the calculation:
- Formation energy (no corrections): 1795 meV/atom
- Fermi-level density of states: 4.50 states/eV per cell

Cell lengths 4.268, 4.268, 3.989 Å; angles 90.00, 90.00, 90.00 degrees
Sites, in units of the cell vectors:
Li  0.000  0.000  0.000
Ge  0.000  0.000  0.500
Os  0.000  0.500  0.000
Os  0.500  0.000  0.000
Cl  0.500  0.500  0.500

---

[3]
# Ba2SrAs

A crystal of Ba2SrAs relaxed with PBEsol (SCAN, Alexandria via LeMat-Bulk).

Values from the calculation:
- Fermi-level density of states: 1.25 states/eV per cell
- ΔH_f (0 K): -14.73 kcal/mol of atoms

Cell lengths 4.024, 4.024, 10.419 Å; angles 90.00, 90.00, 90.00 degrees
Sites, in units of the cell vectors:
Ba  0.000  0.000  0.000
Ba  0.500  0.500  0.356
Sr  0.000  0.000  0.685
As  0.500  0.500  0.830

---

In order of appearance, theoretical density = 3587, 11323, 4302 kg/m3.